Compound: LaGa2Co
Source: Alexandria
Functional: PBE
Structure: optimized geometry

Lattice parameters (Å, degrees): 4.1282 4.1282 16.3818 90.00 90.00 120.00
Space group R-3m (No. 166, hexagonal axes)
Asymmetric unit:
La (0.0000, 0.0000, 0.0000) (multiplicity 3)
Ga (0.0000, 0.0000, 0.2067) (multiplicity 6)
Co (0.0000, 0.0000, 0.5000) (multiplicity 3)

Values from the calculation:
DFT formation energy: -0.45 eV/atom
Fermi-level density of states: 14.3 states/eV/cell